Record 1
Computed, not measured: crystalline Pm3Sn2Pd7 at its relaxed geometry at the PBE level of DFT.

Calculated values
The symmetry is P2/m. The excess energy over the best structure of this formula in the dataset is 0.064 eV per atom.

Cell and atoms, written as extended XYZ:
```
12
Lattice="-3.146 -1.362 2.156 2.665 -1.462 2.965 -2.440 14.458 5.572" Properties=species:S:1:pos:R:3 pbc="T T T"
Pm -0.241 -1.412 2.561
Pm -0.719 4.204 5.411
Pm -2.203 7.430 5.283
Sn 0.518 10.643 7.479
Sn -0.293 2.353 1.058
Pd -0.730 9.923 5.203
Pd 0.716 7.141 5.555
Pd 0.000 0.000 0.000
Pd 0.955 3.073 3.334
Pd -1.956 3.209 2.978
Pd -0.966 8.425 7.716
Pd -0.491 5.855 2.982
```

***

Record 2
Computed, not measured: crystalline Pm5Sn2Pd at its relaxed geometry at the PBE level of DFT.

Calculated values
The symmetry is I4mm.

Cell and atoms, written as extended XYZ:
```
8
Lattice="-3.710 0.304 6.048 -1.502 -6.917 -0.574 6.304 2.313 -0.419" Properties=species:S:1:pos:R:3 pbc="T T T"
Pm 2.996 0.831 3.854
Pm 4.828 0.681 0.868
Pm 2.255 -2.585 3.571
Pm 4.086 -2.735 0.584
Pm -0.818 -3.786 3.856
Sn 0.947 -3.914 0.777
Sn -0.158 -0.305 4.087
Pd 1.194 -0.321 0.748
```

***

Record 3
Computed, not measured: crystalline Pm7SnPd4 at its relaxed geometry at the PBE level of DFT.

Calculated values
The symmetry is C2/m.

Cell and atoms, written as extended XYZ:
```
12
Lattice="-0.190 -0.781 -5.816 0.280 -8.524 -1.828 -6.778 -1.810 -2.499" Properties=species:S:1:pos:R:3 pbc="T T T"
Pm -3.308 -9.181 -7.550
Pm -3.380 -1.934 -2.593
Pm -1.427 -5.800 -2.138
Pm -5.261 -5.315 -8.005
Pm -4.885 -6.983 -4.829
Pm -0.095 -0.391 -2.908
Pm -1.803 -4.132 -5.313
Sn 0.000 0.000 0.000
Pd -4.465 -3.664 -5.289
Pd -2.223 -7.451 -4.854
Pd -6.250 -7.880 -7.628
Pd -0.438 -3.235 -2.515
```

***

Record 4
Computed, not measured: crystalline Pm3Sn2Pd6 at its relaxed geometry at the PBE level of DFT.

Calculated values
The symmetry is Im-3m.

Cell and atoms, written as extended XYZ:
```
22
Lattice="-0.996 3.544 7.613 -6.761 1.674 -4.795 0.833 -8.369 0.874" Properties=species:S:1:pos:R:3 pbc="T T T"
Pm -0.116 -3.435 6.040
Pm -0.047 -1.391 2.447
Pm -1.709 -1.930 -1.130
Pm -4.219 -4.765 -2.791
Pm -2.236 1.504 0.812
Pm -5.521 3.714 2.006
Sn -3.381 0.837 -2.397
Sn -0.498 1.772 3.806
Sn 0.416 -4.185 0.437
Sn -3.462 -1.576 1.846
Pd -2.262 -2.648 4.068
Pd -0.373 -0.515 5.317
Pd 0.210 -4.311 3.170
Pd -4.662 -0.503 -0.376
Pd -4.174 -1.747 -2.864
Pd -2.698 0.134 3.851
Pd -4.226 -3.285 -0.159
Pd -1.754 -4.948 -1.057
Pd -4.797 2.311 -0.568
Pd -4.849 0.773 2.137
Pd -2.075 -3.925 1.555
Pd -2.960 2.907 3.386
```

***

Record 5
Computed, not measured: crystalline PmSn4Pd2 at its relaxed geometry at the PBE level of DFT.

Calculated values
The symmetry is Pnma.

Cell and atoms, written as extended XYZ:
```
28
Lattice="-3.057 2.116 2.624 -2.171 -6.555 2.755 12.993 1.537 13.897" Properties=species:S:1:pos:R:3 pbc="T T T"
Pm 3.904 -3.890 13.603
Pm 3.860 0.988 5.674
Pm 9.332 -1.337 13.922
Pm -1.568 -1.565 5.354
Sn 7.698 -0.130 11.045
Sn 0.067 -2.773 8.231
Sn 6.504 -2.182 15.254
Sn 1.260 -0.721 4.022
Sn 6.588 -2.925 12.005
Sn 1.177 0.022 7.271
Sn 7.949 1.624 13.870
Sn -0.185 -4.527 5.407
Sn 5.864 0.451 8.441
Sn 1.900 -3.354 10.836
Sn 8.888 -1.102 17.161
Sn -1.123 -1.801 2.116
Sn 3.817 -1.999 8.031
Sn 3.947 -0.904 11.246
Sn -3.580 -4.784 5.605
Sn 11.344 1.882 13.671
Pd 4.554 -3.641 10.213
Pd 3.211 0.738 9.064
Pd 9.655 1.350 16.078
Pd -1.891 -4.253 3.199
Pd 7.361 -4.591 14.249
Pd 0.403 1.689 5.027
Pd 5.964 -0.369 13.163
Pd 1.801 -2.534 6.113
```

***

Record 6
Computed, not measured: crystalline PmSn4Pd4 at its relaxed geometry at the PBE level of DFT.

Calculated values
The symmetry is P4_2/nmc. The excess energy over the best structure of this formula in the dataset is 0.000 eV per atom.

Cell and atoms, written as extended XYZ:
```
18
Lattice="-1.512 6.317 0.685 0.148 -0.669 6.495 8.857 2.118 0.016" Properties=species:S:1:pos:R:3 pbc="T T T"
Pm 0.000 0.000 0.000
Pm 3.747 3.883 3.598
Sn 6.465 4.344 5.348
Sn 6.385 4.703 1.858
Sn 0.662 4.940 3.778
Sn 1.475 1.545 3.409
Sn 2.272 2.337 0.189
Sn 1.573 5.260 0.506
Sn 6.219 1.298 1.756
Sn 6.287 0.988 4.762
Pd 7.782 2.940 3.409
Pd 6.918 6.549 3.801
Pd 0.186 2.830 5.447
Pd 0.102 3.213 1.736
Pd 3.709 0.384 4.646
Pd 3.645 0.670 1.862
Pd 4.822 3.061 0.205
Pd 4.174 5.769 0.499
```

***

Record 7
Computed, not measured: crystalline Pm3SnPd3 at its relaxed geometry at the PBE level of DFT.

Calculated values
The symmetry is P6_3/m.

Cell and atoms, written as extended XYZ:
```
14
Lattice="-3.859 1.960 2.352 2.128 -4.609 7.332 3.369 8.158 -1.272" Properties=species:S:1:pos:R:3 pbc="T T T"
Pm 0.534 3.200 5.946
Pm -1.754 0.251 4.649
Pm 0.163 -0.101 8.087
Pm 1.104 2.309 2.465
Pm 3.392 5.258 3.762
Pm 1.475 5.610 0.324
Sn 1.577 0.137 5.052
Sn 0.061 5.373 3.360
Pd 3.506 3.166 5.692
Pd -0.420 -0.146 2.012
Pd 1.644 -2.610 7.451
Pd -1.868 2.344 2.719
Pd 2.058 5.655 6.400
Pd -0.006 8.119 0.960
```

***

Record 8
Computed, not measured: crystalline Pm2SnPd6 at its relaxed geometry at the PBE level of DFT.

Calculated values
The symmetry is C2/m. The excess energy over the best structure of this formula in the dataset is 0.236 eV per atom.

Cell and atoms, written as extended XYZ:
```
9
Lattice="3.982 0.000 -0.145 0.000 8.175 0.000 -1.758 -4.088 6.109" Properties=species:S:1:pos:R:3 pbc="T T T"
Pm 2.070 4.088 1.856
Pm 0.154 0.000 4.109
Sn 0.000 0.000 0.000
Pd 0.077 1.931 1.977
Pd 2.147 -2.156 3.988
Pd 2.147 2.156 3.988
Pd 1.991 1.813 -0.073
Pd 0.077 6.244 1.977
Pd 1.991 6.362 -0.073
```

***

no.,calculated volume (Å³ per cell),formation energy from the elements (eV per atom)
1,266.0,-0.63
2,225.8,-0.48
3,325.3,-0.45
4,465.5,-0.79
5,645.8,-0.58
6,388.5,-0.53
7,339.2,-0.69
8,196.8,-0.49